Here is crystalline MgAg at its relaxed geometry from OQMD via LeMat-Bulk. Energies are from GGA-PBE.

Crystal system: orthorhombic
Energy in eV/atom: -2.346

The structure in extended XYZ format:
```
10
Lattice="2.539 4.400 0.000 -5.226 5.953 0.000 0.000 0.000 4.846" Properties=species:S:1:pos:R:3 pbc="T T T"
Ag 0.008 5.945 0.000
Mg -3.553 8.755 2.423
Ag -2.601 4.499 0.000
Mg -5.031 5.952 0.000
Mg -0.129 3.120 0.000
Ag -0.903 4.372 2.423
Ag -2.656 7.483 0.000
Mg -0.952 7.354 2.423
Mg -0.979 1.400 2.423
Ag -3.558 5.905 2.423
```